a) The following is a PBE-GGA calculation of crystalline DyHgTe at its relaxed geometry, from the Alexandria database.

POSCAR file:
```
DyHgTe
1.0
2.406 1.389 9.917
-2.406 1.389 9.917
0.000 -2.779 9.917
Dy Hg Te
2 2 2
direct
0.063 0.063 0.063
0.937 0.937 0.937
0.330 0.330 0.330
0.670 0.670 0.670
0.225 0.225 0.225
0.775 0.775 0.775
```

Calculated values
total moment	0.0	μB/f.u.

=====

b) The following is a PBE-GGA calculation of crystalline DyHgTe at its relaxed geometry, from the Alexandria database.

POSCAR file:
```
DyHgTe
1.0
6.227 0.000 0.000
0.000 6.051 0.000
0.000 0.000 6.050
Dy Hg Te
2 2 2
direct
0.000 0.000 0.000
0.000 0.500 0.500
0.500 0.000 0.001
0.500 0.500 0.501
0.000 0.000 0.500
0.000 0.500 0.000
```

Calculated values
total moment	0.0	μB/f.u.

=====

Energies relative to the most stable structure, in meV/atom: a) 0; b) 103.

=====

a) The following is a PBE-GGA calculation of crystalline Dy7Hg2Te2 at its relaxed geometry, from the Alexandria database.

POSCAR file:
```
Dy7Hg2Te2
1.0
5.418 -4.062 0.000
5.418 4.062 0.000
-0.011 0.000 7.626
Dy Hg Te
7 2 2
direct
0.000 0.000 0.000
0.000 0.499 0.282
0.000 0.501 0.718
0.499 0.000 0.282
0.500 0.500 0.269
0.500 0.500 0.731
0.501 0.000 0.718
0.180 0.820 0.500
0.820 0.180 0.500
0.282 0.282 0.000
0.718 0.718 0.000
```

Calculated values
total moment	0.0	μB/f.u.

=====

b) The following is a PBE-GGA calculation of crystalline Dy7Hg2Te2 at its relaxed geometry, from the Alexandria database.

POSCAR file:
```
Dy7Hg2Te2
1.0
-2.160 7.640 4.829
2.160 -7.640 4.829
2.160 7.640 -4.829
Dy Hg Te
7 2 2
direct
0.000 0.000 0.000
0.277 0.403 0.875
0.301 0.617 0.684
0.528 0.403 0.125
0.610 0.247 0.362
0.885 0.247 0.638
0.932 0.617 0.316
0.153 0.920 0.234
0.686 0.920 0.766
0.259 0.759 0.500
0.657 0.657 0.000
```

Calculated values
total moment	0.0	μB/f.u.

=====

Energies relative to the most stable structure, in meV/atom: a) 308; b) 0.